# 1
# GGA-PBE Sm12ZnNi6, optimized geometry
# VASP energy, eV/atom: -5.131
# ΔE_f, kJ/mol of formula units: -473
# Space group: Im-3 (204)
data_Sm12ZnNi6
_cell_length_a 8.5482
_cell_length_b 8.5482
_cell_length_c 8.5482
_cell_angle_alpha 109.47
_cell_angle_beta 109.47
_cell_angle_gamma 109.47
_symmetry_space_group_name_H-M 'P 1'
_symmetry_Int_Tables_number 1
loop_
_symmetry_equiv_pos_as_xyz
'x,y,z'
loop_
_atom_site_label
_atom_site_type_symbol
_atom_site_fract_x
_atom_site_fract_y
_atom_site_fract_z
Ni1 Ni 0.6229 0.5000 0.1229
Ni2 Ni 0.3771 0.5000 0.8771
Ni3 Ni 0.8771 0.3771 0.5000
Ni4 Ni 0.5000 0.8771 0.3771
Ni5 Ni 0.5000 0.1229 0.6229
Ni6 Ni 0.1229 0.6229 0.5000
Sm1 Sm 0.3034 0.1176 0.8142
Sm2 Sm 0.6966 0.8824 0.1858
Sm3 Sm 0.5108 0.8142 0.6966
Sm4 Sm 0.1858 0.3034 0.4892
Sm5 Sm 0.4892 0.1858 0.3034
Sm6 Sm 0.8824 0.1858 0.6966
Sm7 Sm 0.1176 0.8142 0.3034
Sm8 Sm 0.3034 0.4892 0.1858
Sm9 Sm 0.8142 0.3034 0.1176
Sm10 Sm 0.8142 0.6966 0.5108
Sm11 Sm 0.1858 0.6966 0.8824
Sm12 Sm 0.6966 0.5108 0.8142
Zn1 Zn 0.0000 0.0000 0.0000

=====

# 2
# GGA-PBE InP, optimized geometry
# VASP energy, eV/atom: -3.682
# ΔE_f, kJ/mol of formula units: 76
# Space group: Pm-3m (221)
data_InP
_cell_length_a 3.4406
_cell_length_b 3.4406
_cell_length_c 3.4406
_cell_angle_alpha 90.00
_cell_angle_beta 90.00
_cell_angle_gamma 90.00
_symmetry_space_group_name_H-M 'P 1'
_symmetry_Int_Tables_number 1
loop_
_symmetry_equiv_pos_as_xyz
'x,y,z'
loop_
_atom_site_label
_atom_site_type_symbol
_atom_site_fract_x
_atom_site_fract_y
_atom_site_fract_z
P1 P 0.5000 0.5000 0.5000
In1 In 0.0000 0.0000 0.0000

=====

# 3
# GGA-PBE Y2CrCl, optimized geometry
# Formation energy (no corrections), eV/atom: -0.058
# Energy above the most stable polymorph in this dataset, eV/atom: 0.4106
# VASP energy, eV/atom: -6.157
# Space group: I-42d (122)
data_Y2CrCl
_cell_length_a 7.7473
_cell_length_b 7.7473
_cell_length_c 6.4900
_cell_angle_alpha 53.35
_cell_angle_beta 53.35
_cell_angle_gamma 90.00
_symmetry_space_group_name_H-M 'P 1'
_symmetry_Int_Tables_number 1
loop_
_symmetry_equiv_pos_as_xyz
'x,y,z'
loop_
_atom_site_label
_atom_site_type_symbol
_atom_site_fract_x
_atom_site_fract_y
_atom_site_fract_z
Y1 Y 0.1614 0.6250 0.2500
Y2 Y 0.5886 0.1250 0.2500
Y3 Y 0.3750 0.4114 0.7500
Y4 Y 0.8750 0.8386 0.7500
Cr1 Cr 0.0000 0.0000 0.0000
Cr2 Cr 0.7500 0.2500 0.5000
Cl1 Cl 0.2500 0.7500 0.5000
Cl2 Cl 0.5000 0.5000 0.0000

=====

# 4
# GGA-PBE NaCd2Ag4, optimized geometry
# Energy above the most stable polymorph in this dataset, eV/atom: 0.5178
# VASP energy, eV/atom: -1.592
# ΔE_f, kJ/mol of formula units: 329
# Space group: I4/mmm (139)
data_NaCd2Ag4
_cell_length_a 5.0752
_cell_length_b 5.0752
_cell_length_c 7.8784
_cell_angle_alpha 71.21
_cell_angle_beta 71.21
_cell_angle_gamma 90.00
_symmetry_space_group_name_H-M 'P 1'
_symmetry_Int_Tables_number 1
loop_
_symmetry_equiv_pos_as_xyz
'x,y,z'
loop_
_atom_site_label
_atom_site_type_symbol
_atom_site_fract_x
_atom_site_fract_y
_atom_site_fract_z
Ag1 Ag 0.8020 0.8020 0.3960
Ag2 Ag 0.0000 0.5000 0.0000
Ag3 Ag 0.1980 0.1980 0.6040
Ag4 Ag 0.5000 0.0000 0.0000
Cd1 Cd 0.3914 0.3914 0.2172
Cd2 Cd 0.6086 0.6086 0.7828
Na1 Na 0.0000 0.0000 0.0000

=====

# 5
# GGA-PBE CuHgSe2, optimized geometry
# Formation energy (no corrections), eV/atom: -0.042
# VASP energy, eV/atom: -2.884
# Space group: R-3m (166)
data_CuHgSe2
_cell_length_a 7.9181
_cell_length_b 7.9181
_cell_length_c 7.9181
_cell_angle_alpha 28.35
_cell_angle_beta 28.35
_cell_angle_gamma 28.35
_symmetry_space_group_name_H-M 'P 1'
_symmetry_Int_Tables_number 1
loop_
_symmetry_equiv_pos_as_xyz
'x,y,z'
loop_
_atom_site_label
_atom_site_type_symbol
_atom_site_fract_x
_atom_site_fract_y
_atom_site_fract_z
Se1 Se 0.1122 0.1122 0.1122
Se2 Se 0.8878 0.8878 0.8878
Hg1 Hg 0.0000 0.0000 0.0000
Cu1 Cu 0.5000 0.5000 0.5000

=====

# 6
# GGA-PBE Tl8B3S8, optimized geometry
# Formation energy (no corrections), eV/atom: -0.351
# VASP energy, eV/atom: -4.139
# Space group: P-1 (2)
data_Tl8B3S8
_cell_length_a 6.6963
_cell_length_b 8.9379
_cell_length_c 10.6490
_cell_angle_alpha 90.04
_cell_angle_beta 120.18
_cell_angle_gamma 103.39
_symmetry_space_group_name_H-M 'P 1'
_symmetry_Int_Tables_number 1
loop_
_symmetry_equiv_pos_as_xyz
'x,y,z'
loop_
_atom_site_label
_atom_site_type_symbol
_atom_site_fract_x
_atom_site_fract_y
_atom_site_fract_z
Tl1 Tl 0.8336 0.1712 0.5893
Tl2 Tl 0.8948 0.2941 0.0035
Tl3 Tl 0.5762 0.0789 0.1987
Tl4 Tl 0.1663 0.8288 0.4107
Tl5 Tl 0.3928 0.5032 0.6509
Tl6 Tl 0.6072 0.4968 0.3491
Tl7 Tl 0.1052 0.7059 0.9965
Tl8 Tl 0.4238 0.9211 0.8013
S1 S 0.0877 0.3909 0.3233
S2 S 0.6500 0.6894 0.0541
S3 S 0.8882 0.9281 0.7850
S4 S 0.3500 0.3106 0.9459
S5 S 0.1118 0.0719 0.2150
S6 S 0.9123 0.6091 0.6767
S7 S 0.6672 0.8283 0.4438
S8 S 0.3328 0.1717 0.5562
B1 B 0.1799 0.2106 0.3662
B2 B 0.5000 0.5000 0.0000
B3 B 0.8201 0.7894 0.6338

=====

# 7
# GGA-PBE ErTiGa6, optimized geometry
# VASP energy, eV/atom: -4.242
# ΔE_f, kJ/mol of formula units: -320
# Space group: P4/mmm (123)
data_ErTiGa6
_cell_length_a 4.1351
_cell_length_b 4.1351
_cell_length_c 8.2072
_cell_angle_alpha 90.00
_cell_angle_beta 90.00
_cell_angle_gamma 90.00
_symmetry_space_group_name_H-M 'P 1'
_symmetry_Int_Tables_number 1
loop_
_symmetry_equiv_pos_as_xyz
'x,y,z'
loop_
_atom_site_label
_atom_site_type_symbol
_atom_site_fract_x
_atom_site_fract_y
_atom_site_fract_z
Ga1 Ga 0.5000 0.0000 0.2644
Ga2 Ga 0.0000 0.5000 0.7356
Ga3 Ga 0.5000 0.5000 0.5000
Ga4 Ga 0.0000 0.5000 0.2644
Ga5 Ga 0.5000 0.0000 0.7356
Ga6 Ga 0.5000 0.5000 0.0000
Ti1 Ti 0.0000 0.0000 0.5000
Er1 Er 0.0000 0.0000 0.0000

=====

Copy entry 7 word for word.
# GGA-PBE ErTiGa6, optimized geometry
# VASP energy, eV/atom: -4.242
# ΔE_f, kJ/mol of formula units: -320
# Space group: P4/mmm (123)
data_ErTiGa6
_cell_length_a 4.1351
_cell_length_b 4.1351
_cell_length_c 8.2072
_cell_angle_alpha 90.00
_cell_angle_beta 90.00
_cell_angle_gamma 90.00
_symmetry_space_group_name_H-M 'P 1'
_symmetry_Int_Tables_number 1
loop_
_symmetry_equiv_pos_as_xyz
'x,y,z'
loop_
_atom_site_label
_atom_site_type_symbol
_atom_site_fract_x
_atom_site_fract_y
_atom_site_fract_z
Ga1 Ga 0.5000 0.0000 0.2644
Ga2 Ga 0.0000 0.5000 0.7356
Ga3 Ga 0.5000 0.5000 0.5000
Ga4 Ga 0.0000 0.5000 0.2644
Ga5 Ga 0.5000 0.0000 0.7356
Ga6 Ga 0.5000 0.5000 0.0000
Ti1 Ti 0.0000 0.0000 0.5000
Er1 Er 0.0000 0.0000 0.0000

=====

What is the VASP energy in the third record? -6.157 eV/atom

=====

Among the records above, which one has the lowest VASP energy? Y2CrCl

=====

Which of these has the lowest VASP energy? Y2CrCl